(1)
A plane-wave DFT calculation with GGA-PBE was carried out for a geometry-optimized Cd2FeRu structure.

a = 2.8323 Å, b = 2.8323 Å, c = 8.3329 Å
α = 90.00°, β = 90.00°, γ = 90.00°
With the nearest neighbours (Å) after each atom.
Space group P4/mmm (No. 123)
Asymmetric unit:
Cd  0.0000  0.0000  0.2469  4 Cd 2.83, 4 Fe 2.87, 4 Ru 2.91
Fe  0.5000  0.5000  0.0000  4 Fe 2.83, 8 Cd 2.87
Ru  0.5000  0.5000  0.5000  4 Ru 2.83, 8 Cd 2.91

=====

(2)
A plane-wave DFT calculation with GGA-PBE was carried out for a geometry-optimized Cd2FeRu structure.

a = 6.4242 Å, b = 6.4242 Å, c = 6.4242 Å
α = 90.00°, β = 90.00°, γ = 90.00°
With the nearest neighbours (Å) after each atom.
Space group F-43m (No. 216)
Asymmetric unit:
Cd  0.0000  0.0000  0.0000  4 Cd 2.78, 4 Fe 2.78
Cd  0.2500  0.2500  0.2500  4 Ru 2.78, 4 Cd 2.78
Fe  0.2500  0.2500  0.7500  4 Cd 2.78, 4 Ru 2.78
Ru  0.0000  0.0000  0.5000  4 Fe 2.78, 4 Cd 2.78

=====

(3)
A plane-wave DFT calculation with GGA-PBE was carried out for a geometry-optimized Cd2FeRu structure.

a = 6.4231 Å, b = 6.4231 Å, c = 6.4231 Å
α = 90.00°, β = 90.00°, γ = 90.00°
With the nearest neighbours (Å) after each atom.
Space group Fm-3m (No. 225)
Asymmetric unit:
Cd  0.2500  0.2500  0.2500  4 Fe 2.78, 4 Ru 2.78
Fe  0.0000  0.0000  0.0000  8 Cd 2.78
Ru  0.0000  0.0000  0.5000  8 Cd 2.78

=====

(4)
A plane-wave DFT calculation with GGA-PBE was carried out for a geometry-optimized CdFeRu2 structure.

a = 5.5753 Å, b = 7.5267 Å, c = 2.8696 Å
α = 90.00°, β = 90.00°, γ = 90.00°
With the nearest neighbours (Å) after each atom.
Space group Cmmm (No. 65)
Asymmetric unit:
Cd  0.0000  0.0000  0.0000  8 Ru 2.75, 2 Fe 2.79, 2 Cd 2.87
Fe  0.0000  0.5000  0.0000  8 Ru 2.75, 2 Cd 2.79, 2 Fe 2.87
Ru  0.2500  0.2500  0.5000  4 Cd 2.75, 4 Fe 2.75, 4 Ru 2.79-2.87

=====

What did we get for total energy? Answer: -17.896, -72.201, -71.154, -51.881 eV/cell, in the order shown.
What did we get for calculated formation energy? Answer: 418.1, 379.6, 445.0, 497.3 meV/atom, in the order shown.